Density functional theory data (GGA-PBE) for an optimized crystal structure of AcScCo4.

The structure in POSCAR format:
```
AcScCo4
1.0
0.000 3.618 3.618
3.618 0.000 3.618
3.618 3.618 0.000
Ac Sc Co
1 1 4
Direct
0.000 0.000 0.000
0.750 0.750 0.750
0.376 0.376 0.376
0.376 0.376 0.871
0.376 0.871 0.376
0.871 0.376 0.376
```

Computed properties:
magnetic moment: 3.7 μB per cell
N(E_F): 1.7903 states/eV/atom

Density functional theory data (GGA-PBE) for an optimized crystal structure of Sm2HoTh.

The structure in POSCAR format:
```
Sm2HoTh
1.0
-2.533 2.533 5.109
2.533 -2.533 5.109
2.533 2.533 -5.109
Sm Ho Th
2 1 1
Direct
0.250 0.750 0.500
0.750 0.250 0.500
0.000 0.000 0.000
0.500 0.500 0.000
```

Computed properties:
energy relative to the lowest polymorph listed for this composition: 41 meV per atom
magnetic moment: 0.0 μB per cell
N(E_F): 1.6247 states/eV/atom

Density functional theory data (GGA-PBE) for an optimized crystal structure of LaAl2Pt2.

The structure in POSCAR format:
```
LaAl2Pt2
1.0
7.959 0.000 0.000
0.000 7.959 0.000
0.000 0.000 2.843
La Al Pt
2 4 4
Direct
0.000 0.000 0.000
0.500 0.500 0.000
0.122 0.378 0.000
0.378 0.878 0.000
0.622 0.122 0.000
0.878 0.622 0.000
0.169 0.669 0.500
0.331 0.169 0.500
0.669 0.831 0.500
0.831 0.331 0.500
```

Computed properties:
magnetic moment: 0.0 μB per cell
N(E_F): 0.6491 states/eV/atom

Density functional theory data (GGA-PBE) for an optimized crystal structure of MgBeSi2.

The structure in POSCAR format:
```
MgBeSi2
1.0
3.526 0.000 0.000
-1.686 3.433 0.000
-0.024 -0.244 5.435
Mg Be Si
1 1 2
Direct
0.000 0.000 0.000
0.000 0.000 0.500
0.306 0.612 0.656
0.694 0.388 0.344
```

Computed properties:
energy relative to the lowest polymorph listed for this composition: 68 meV per atom
magnetic moment: 0.0 μB per cell
N(E_F): 0.2794 states/eV/atom

Density functional theory data (GGA-PBE) for an optimized crystal structure of Ti2N2O.

The structure in POSCAR format:
```
Ti2N2O
1.0
-1.503 2.007 4.636
1.503 -2.007 4.636
1.503 2.007 -4.636
Ti N O
2 2 1
Direct
0.164 0.164 0.000
0.836 0.836 0.000
0.302 0.802 0.500
0.698 0.198 0.500
0.000 0.500 0.500
```

Computed properties:
magnetic moment: 0.0 μB per cell

Density functional theory data (GGA-PBE) for an optimized crystal structure of Li4ErSn2.

The structure in POSCAR format:
```
Li4ErSn2
1.0
7.864 0.000 0.000
0.000 7.864 0.000
0.000 0.000 4.625
Li Er Sn
8 2 4
Direct
0.112 0.360 0.000
0.140 0.612 0.500
0.360 0.112 0.000
0.388 0.860 0.500
0.612 0.140 0.500
0.640 0.888 0.000
0.860 0.388 0.500
0.888 0.640 0.000
0.000 0.000 0.500
0.500 0.500 0.000
0.208 0.792 0.000
0.292 0.292 0.500
0.708 0.708 0.500
0.792 0.208 0.000
```

Computed properties:
magnetic moment: 0.0 μB per cell
N(E_F): 0.3832 states/eV/atom

Density functional theory data (GGA-PBE) for an optimized crystal structure of Pr2ErGa3Pd4.

The structure in POSCAR format:
```
Pr2ErGa3Pd4
1.0
4.310 0.000 0.000
0.000 4.310 0.000
0.000 0.000 11.266
Pr Er Ga Pd
2 1 3 4
Direct
0.000 0.500 0.228
0.500 0.000 0.772
0.000 0.000 0.500
0.000 0.500 0.879
0.500 0.000 0.121
0.500 0.500 0.500
0.000 0.000 0.000
0.000 0.500 0.655
0.500 0.000 0.345
0.500 0.500 0.000
```

Computed properties:
magnetic moment: 0.0 μB per cell
N(E_F): 0.7795 states/eV/atom

Density functional theory data (GGA-PBE) for an optimized crystal structure of La3TiW.

The structure in POSCAR format:
```
La3TiW
1.0
5.580 0.000 0.000
0.000 5.580 0.000
0.000 0.000 5.580
La Ti W
3 1 1
Direct
0.000 0.000 0.500
0.000 0.500 0.000
0.500 0.000 0.000
0.500 0.500 0.500
0.000 0.000 0.000
```

Computed properties:
energy relative to the lowest polymorph listed for this composition: 0 meV per atom
magnetic moment: 3.5 μB per cell
N(E_F): 2.3249 states/eV/atom

Density functional theory data (GGA-PBE) for an optimized crystal structure of Ho2Re3Tc.

The structure in POSCAR format:
```
Ho2Re3Tc
1.0
4.632 -2.679 0.000
4.632 2.679 0.000
-3.100 0.000 4.499
Ho Re Tc
2 3 1
Direct
0.125 0.125 0.375
0.875 0.875 0.625
0.000 0.500 0.000
0.500 0.000 0.000
0.500 0.500 0.000
0.500 0.500 0.500
```

Computed properties:
magnetic moment: 0.0 μB per cell
N(E_F): 0.8141 states/eV/atom

Density functional theory data (GGA-PBE) for an optimized crystal structure of Pm2Pr9Er.

The structure in POSCAR format:
```
Pm2Pr9Er
1.0
5.210 0.000 0.000
0.000 5.210 0.000
0.000 0.000 15.641
Pm Pr Er
2 9 1
Direct
0.000 0.000 0.168
0.000 0.000 0.832
0.000 0.500 0.000
0.000 0.500 0.335
0.000 0.500 0.665
0.500 0.000 0.000
0.500 0.000 0.335
0.500 0.000 0.665
0.500 0.500 0.168
0.500 0.500 0.500
0.500 0.500 0.832
0.000 0.000 0.500
```

Computed properties:
magnetic moment: 0.0 μB per cell
N(E_F): 1.7205 states/eV/atom

Density functional theory data (GGA-PBE) for an optimized crystal structure of Sc2SnClO.

The structure in POSCAR format:
```
Sc2SnClO
1.0
4.259 0.000 0.000
0.000 4.259 0.000
0.000 0.000 5.667
Sc Sn Cl O
2 1 1 1
Direct
0.000 0.500 0.000
0.500 0.000 0.000
0.000 0.000 0.500
0.500 0.500 0.500
0.500 0.500 0.000
```

Computed properties:
magnetic moment: 0.0 μB per cell
N(E_F): 0.8157 states/eV/atom

Density functional theory data (GGA-PBE) for an optimized crystal structure of LaSc2Mn.

The structure in POSCAR format:
```
LaSc2Mn
1.0
3.308 -4.159 0.000
3.308 4.159 0.000
0.000 0.000 3.487
La Sc Mn
1 2 1
Direct
0.000 0.000 0.000
0.000 0.500 0.500
0.500 0.000 0.500
0.500 0.500 0.000
```

Computed properties:
energy relative to the lowest polymorph listed for this composition: 213 meV per atom
magnetic moment: 2.8 μB per cell
N(E_F): 1.0176 states/eV/atom

Density functional theory data (GGA-PBE) for an optimized crystal structure of GdScNiIr.

The structure in POSCAR format:
```
GdScNiIr
1.0
0.000 3.331 3.331
3.331 0.000 3.331
3.331 3.331 0.000
Gd Sc Ni Ir
1 1 1 1
Direct
0.000 0.000 0.000
0.500 0.500 0.500
0.250 0.250 0.250
0.750 0.750 0.750
```

Computed properties:
magnetic moment: 7.1 μB per cell
N(E_F): 0.5832 states/eV/atom

Density functional theory data (GGA-PBE) for an optimized crystal structure of CuSBrO.

The structure in POSCAR format:
```
CuSBrO
1.0
3.998 0.000 0.000
1.782 5.422 0.000
1.697 0.531 8.375
Cu S Br O
2 2 2 2
Direct
0.000 0.000 0.000
0.424 0.284 0.856
0.002 0.193 0.769
0.939 0.250 0.329
0.229 0.868 0.604
0.232 0.565 0.062
0.626 0.406 0.425
0.848 0.096 0.225
```

Computed properties:
energy relative to the lowest polymorph listed for this composition: 0 meV per atom
magnetic moment: 0.0 μB per cell
N(E_F): 0.0000 states/eV/atom

Density functional theory data (GGA-PBE) for an optimized crystal structure of CdTeRh2.

The structure in POSCAR format:
```
CdTeRh2
1.0
4.953 -1.652 0.000
4.953 1.652 0.000
-0.854 0.000 4.441
Cd Te Rh
1 1 2
Direct
0.000 0.000 0.000
0.252 0.252 0.572
0.531 0.531 0.510
0.736 0.736 0.093
```

Computed properties:
energy relative to the lowest polymorph listed for this composition: 13 meV per atom
magnetic moment: 0.0 μB per cell
N(E_F): 0.4114 states/eV/atom

Density functional theory data (GGA-PBE) for an optimized crystal structure of La8P3I3N.

The structure in POSCAR format:
```
La8P3I3N
1.0
7.268 -4.206 0.000
7.268 4.206 0.000
-4.836 0.000 7.795
La P I N
8 3 3 1
Direct
0.213 0.213 0.685
0.213 0.759 0.685
0.241 0.787 0.315
0.269 0.269 0.307
0.731 0.731 0.693
0.759 0.213 0.685
0.787 0.241 0.315
0.787 0.787 0.315
0.000 0.500 0.500
0.500 0.000 0.500
0.500 0.500 0.500
0.000 0.000 0.000
0.000 0.500 0.000
0.500 0.000 0.000
0.000 0.000 0.500
```

Computed properties:
magnetic moment: 0.6 μB per cell
N(E_F): 0.4631 states/eV/atom

Density functional theory data (GGA-PBE) for an optimized crystal structure of KSi2Sb.

The structure in POSCAR format:
```
KSi2Sb
1.0
1.972 1.139 8.503
-1.972 1.139 8.503
0.000 -2.277 8.503
K Si Sb
1 2 1
Direct
0.000 0.000 0.000
0.229 0.229 0.229
0.771 0.771 0.771
0.500 0.500 0.500
```

Computed properties:
magnetic moment: 0.0 μB per cell
N(E_F): 0.7150 states/eV/atom

Density functional theory data (GGA-PBE) for an optimized crystal structure of Sc3TlO.

The structure in POSCAR format:
```
Sc3TlO
1.0
-2.143 2.143 5.204
2.143 -2.143 5.204
2.143 2.143 -5.204
Sc Tl O
3 1 1
Direct
0.000 0.000 0.000
0.252 0.752 0.500
0.752 0.252 0.500
0.497 0.497 0.000
0.800 0.800 0.000
```

Computed properties:
magnetic moment: 0.0 μB per cell
N(E_F): 0.1491 states/eV/atom

Density functional theory data (GGA-PBE) for an optimized crystal structure of Dy6TlHg2.

The structure in POSCAR format:
```
Dy6TlHg2
1.0
0.000 6.529 7.657
2.548 0.000 7.657
2.548 6.529 0.000
Dy Tl Hg
6 1 2
Direct
0.013 0.323 0.677
0.323 0.013 0.987
0.342 0.658 0.342
0.658 0.342 0.658
0.677 0.987 0.013
0.987 0.677 0.323
0.000 0.000 0.000
0.335 0.335 0.665
0.665 0.665 0.335
```

Computed properties:
energy relative to the lowest polymorph listed for this composition: 0 meV per atom
magnetic moment: 2.5 μB per cell
N(E_F): 1.2779 states/eV/atom

Density functional theory data (GGA-PBE) for an optimized crystal structure of YHfOsRu.

The structure in POSCAR format:
```
YHfOsRu
1.0
0.000 3.322 3.322
3.322 0.000 3.322
3.322 3.322 0.000
Y Hf Os Ru
1 1 1 1
Direct
0.000 0.000 0.000
0.500 0.500 0.500
0.250 0.250 0.250
0.750 0.750 0.750
```

Computed properties:
magnetic moment: 0.0 μB per cell
N(E_F): 0.5439 states/eV/atom

Calculated density readings, ordered: 8.90 8.83 10.75 2.26 4.15 5.02 8.60 6.20 14.67 6.75 4.20 4.91 10.18 3.50 10.19 5.57 3.15 6.17 10.30 12.65 g/cm³
Calculated total energy readings, ordered: -6.483 -5.298 -5.728 -3.872 -9.299 -3.336 -5.200 -6.303 -9.681 -4.743 -5.832 -6.397 -9.396 -4.180 -4.773 -5.852 -3.561 -6.592 -3.668 -9.658 eV per atom